No. 1
The following is a DFT calculation (PBE) of an optimized crystal structure of Na12Cd2Ga.

Geometry as POSCAR:
```
Na12Cd2Ga
1.0
6.683 0.000 0.000
0.000 6.683 0.000
0.000 0.000 24.233
Na Cd Ga
24 4 2
direct
0.000 0.000 0.081
0.000 0.000 0.919
0.000 0.500 0.081
0.000 0.500 0.919
0.070 0.570 0.433
0.070 0.930 0.567
0.250 0.250 0.190
0.250 0.250 0.321
0.250 0.250 0.679
0.250 0.250 0.810
0.430 0.570 0.567
0.430 0.930 0.433
0.500 0.000 0.081
0.500 0.000 0.919
0.500 0.500 0.081
0.500 0.500 0.919
0.570 0.070 0.567
0.570 0.430 0.433
0.750 0.750 0.190
0.750 0.750 0.321
0.750 0.750 0.679
0.750 0.750 0.810
0.930 0.070 0.433
0.930 0.430 0.567
0.250 0.750 0.190
0.250 0.750 0.810
0.750 0.250 0.190
0.750 0.250 0.810
0.250 0.750 0.000
0.750 0.250 0.000
```

ΔH_f (0 K): 10 kJ/mol of atoms
Space-group type: P4/nbm

***

No. 2
The following is a DFT calculation (PBE) of an optimized crystal structure of Na3Cd8Ga.

Geometry as POSCAR:
```
Na3Cd8Ga
1.0
2.978 1.719 9.669
-2.978 1.719 9.669
0.000 -3.439 9.669
Na Cd Ga
3 8 1
direct
0.000 0.000 0.000
0.127 0.127 0.127
0.623 0.623 0.623
0.062 0.062 0.561
0.062 0.561 0.062
0.063 0.563 0.563
0.313 0.313 0.313
0.561 0.062 0.062
0.563 0.063 0.563
0.563 0.563 0.063
0.812 0.812 0.812
0.502 0.502 0.502
```

ΔH_f (0 K): -5 kJ/mol of atoms
Space-group type: R3m

***

Calculated total energy, record by record: -1.271 -1.243 eV per atom